The following is a PBE calculation of an optimized crystal structure of LiSm3Pd3, from Alexandria.

Calculated values
**VASP energy**: -146.19 eV per cell
**Crystal system**: orthorhombic
**Magnetization**: 0.00 μB/cell
**Energy of formation**: -0.70 eV/atom

Cell and atoms, written as CIF:
```
data_LiSm3Pd3
_chemical_formula_sum 'Li4 Sm12 Pd12'
_cell_length_a 4.1853
_cell_length_b 10.6050
_cell_length_c 14.2274
_cell_angle_alpha 90.00
_cell_angle_beta 90.00
_cell_angle_gamma 90.00
_space_group_name_H-M_alt 'C m c m'
_space_group_IT_number 63
_space_group_name_Hall '-C 2c 2'
loop_
_atom_site_label
_atom_site_type_symbol
_atom_site_fract_x
_atom_site_fract_y
_atom_site_fract_z
_atom_site_occupancy
Li1 Li 0.0000 0.0000 0.0000 1
Sm1 Sm 0.0000 0.0273 0.2500 1
Sm2 Sm 0.0000 0.3000 0.1053 1
Pd1 Pd 0.0000 0.2521 0.7500 1
Pd2 Pd 0.0000 0.4141 0.5893 1
```